(1)
# Rb2Te2H (PBE, relaxed)
data_Rb2Te2H
_space_group_name_H-M_alt 'P 1'
_space_group_IT_number 1
_cell_length_a 3.798
_cell_length_b 6.628
_cell_length_c 6.628
_cell_angle_alpha 81.68
_cell_angle_beta 89.99
_cell_angle_gamma 89.99
loop_
_space_group_symop_operation_xyz
'x,y,z'
loop_
_atom_site_label
_atom_site_fract_x
_atom_site_fract_y
_atom_site_fract_z
Te1 0.000 0.768 0.232
Te2 0.000 0.232 0.768
Rb1 0.500 0.737 0.737
Rb2 0.500 0.263 0.263
H1 0.000 0.000 0.000
# VASP energy: -14.27 eV for the cell shown
# volume: 165 Å³ per cell
# E above lowest polymorph: 0 meV/atom


(2)
# Rb2TeH6 (PBE, relaxed)
data_Rb2TeH6
_space_group_name_H-M_alt 'P 1'
_space_group_IT_number 1
_cell_length_a 3.635
_cell_length_b 6.414
_cell_length_c 6.414
_cell_angle_alpha 120.00
_cell_angle_beta 90.00
_cell_angle_gamma 90.00
loop_
_space_group_symop_operation_xyz
'x,y,z'
loop_
_atom_site_label
_atom_site_fract_x
_atom_site_fract_y
_atom_site_fract_z
H1 0.500 0.750 0.750
H2 0.500 0.250 0.250
H3 0.500 0.250 0.000
H4 0.500 0.750 0.000
H5 0.500 0.000 0.750
H6 0.500 0.000 0.250
Rb1 0.000 0.667 0.333
Rb2 0.000 0.333 0.667
Te1 0.000 0.000 0.000
# VASP energy: -18.92 eV for the cell shown
# volume: 129 Å³ per cell


(3)
# Rb8TeH6 (PBE, relaxed)
data_Rb8TeH6
_space_group_name_H-M_alt 'P 1'
_space_group_IT_number 1
_cell_length_a 8.143
_cell_length_b 8.143
_cell_length_c 8.143
_cell_angle_alpha 98.99
_cell_angle_beta 98.99
_cell_angle_gamma 98.99
loop_
_space_group_symop_operation_xyz
'x,y,z'
loop_
_atom_site_label
_atom_site_fract_x
_atom_site_fract_y
_atom_site_fract_z
Rb1 0.172 0.640 0.820
Rb2 0.684 0.684 0.684
Rb3 0.180 0.828 0.360
Rb4 0.640 0.820 0.172
Rb5 0.828 0.360 0.180
Rb6 0.360 0.180 0.828
Rb7 0.820 0.172 0.640
Rb8 0.316 0.316 0.316
H1 0.853 0.677 0.410
H2 0.590 0.147 0.323
H3 0.323 0.590 0.147
H4 0.410 0.853 0.677
H5 0.147 0.323 0.590
H6 0.677 0.410 0.853
Te1 0.000 0.000 0.000
# VASP energy: -35.10 eV for the cell shown
# volume: 518 Å³ per cell